This record from Alexandria describes an optimized crystal structure of NaPaZn17. The functional is PBE.

Structure (extended XYZ):
```
19
Lattice="4.502 2.599 4.407 -4.502 2.599 4.407 0.000 -5.199 4.407" Properties=species:S:1:pos:R:3 pbc="T T T"
Na 0.000 0.000 0.000
Pa 0.000 0.000 8.963
Zn -1.328 -2.328 4.507
Zn -2.680 0.014 4.507
Zn -2.308 -1.332 6.906
Zn 0.000 0.000 3.177
Zn 1.328 -2.328 4.507
Zn -1.352 2.314 4.507
Zn 0.000 -2.562 6.736
Zn -2.218 1.281 6.736
Zn 0.000 0.000 5.846
Zn -2.186 -1.262 10.906
Zn 2.680 0.014 4.507
Zn 1.352 2.314 4.507
Zn 2.308 -1.332 6.906
Zn 0.000 2.665 6.906
Zn 2.218 1.281 6.736
Zn 2.186 -1.262 10.906
Zn 0.000 2.524 10.906
```

space group: R3m

---

This record from Alexandria describes an optimized crystal structure of NaPaZn10. The functional is PBE.

Structure (extended XYZ):
```
12
Lattice="4.252 0.000 0.000 0.000 5.274 0.000 0.000 0.000 9.299" Properties=species:S:1:pos:R:3 pbc="T T T"
Na 0.000 0.000 0.000
Pa 0.000 2.637 4.649
Zn 0.000 0.000 2.969
Zn 0.000 0.000 6.330
Zn 0.000 2.637 1.481
Zn 0.000 2.637 7.818
Zn 2.126 0.000 4.649
Zn 2.126 1.386 2.491
Zn 2.126 1.386 6.807
Zn 2.126 2.637 0.000
Zn 2.126 3.887 2.491
Zn 2.126 3.887 6.807
```

space group: Pmmm

---

This record from Alexandria describes an optimized crystal structure of NaPb. The functional is PBE.

Structure (extended XYZ):
```
2
Lattice="0.000 3.505 3.505 3.505 0.000 3.505 3.505 3.505 0.000" Properties=species:S:1:pos:R:3 pbc="T T T"
Na 0.000 0.000 0.000
Pb 5.258 5.258 5.258
```

space group: F-43m

---

This record from Alexandria describes an optimized crystal structure of NaPb. The functional is PBE.

Structure (extended XYZ):
```
12
Lattice="8.884 0.000 0.000 -4.442 7.694 0.000 0.000 0.000 5.760" Properties=species:S:1:pos:R:3 pbc="T T T"
Na -2.836 6.162 1.440
Na 0.524 2.156 1.440
Na 2.129 0.625 4.320
Na 2.313 7.069 1.440
Na 3.918 5.537 4.320
Na 7.278 1.532 4.320
Pb -1.818 4.751 4.320
Pb 1.237 3.744 4.320
Pb 3.860 0.801 1.440
Pb 0.582 6.893 4.320
Pb 3.205 3.950 1.440
Pb 6.260 2.943 1.440
```

space group: P6_3/m

---

This record from Alexandria describes an optimized crystal structure of NaPb. The functional is PBE.

Structure (extended XYZ):
```
4
Lattice="5.324 0.000 0.000 0.000 3.756 0.000 0.000 0.000 5.713" Properties=species:S:1:pos:R:3 pbc="T T T"
Na 1.331 0.000 1.063
Na 3.993 0.000 4.650
Pb 1.331 1.878 3.867
Pb 3.993 1.878 1.846
```

space group: Pmma

---

This record from Alexandria describes an optimized crystal structure of Na5Pb3. The functional is PBE.

Structure (extended XYZ):
```
8
Lattice="-2.497 2.497 9.471 2.497 -2.497 9.471 2.497 2.497 -9.471" Properties=species:S:1:pos:R:3 pbc="T T T"
Na 0.000 0.000 0.000
Na 0.000 0.000 4.689
Na 0.000 2.497 2.240
Na 0.000 0.000 14.254
Na 0.000 2.497 7.232
Pb 2.497 0.000 2.283
Pb 2.497 0.000 7.188
Pb 0.000 0.000 9.471
```

space group: I-4m2

---

Computed size of the total moment, in the same sequence as the records: 0.7; 0.1; 0.0; 0.0; 0.0; 0.0 μB per cell.
Computed VASP energy, in the same sequence as the records: -33.84; -24.32; -3.81; -30.69; -10.65; -18.80 eV per cell.
Computed DOS at the Fermi energy, in the same sequence as the records: 9.367; 5.217; 1.627; 7.224; 1.872; 2.028 states/eV/cell.